## GdDyCu2 (PBE)

Data for GdDyCu2 after structural relaxation.

- ΔE to the lowest computed polymorph: 0.000 eV/f.u.
- Magnetic moment: 0.02 Bohr magnetons per cell

Cell and atoms, written as CIF:
```
data_GdDyCu2
_chemical_formula_sum 'Gd2 Dy2 Cu4'
_cell_length_a 4.453
_cell_length_b 5.405
_cell_length_c 7.137
_cell_angle_alpha 90.00
_cell_angle_beta 90.00
_cell_angle_gamma 90.00
_symmetry_space_group_name_H-M 'P m c 21'
_symmetry_Int_Tables_number 26
loop_
_symmetry_equiv_pos_as_xyz
'x,y,z'
'-x,-y,z+1/2'
'-x,y,z'
'x,-y,z+1/2'
loop_
_atom_site_label
_atom_site_type_symbol
_atom_site_fract_x
_atom_site_fract_y
_atom_site_fract_z
Gd1 Gd 0.000 0.120 0.000
Dy1 Dy 0.500 0.381 0.362
Cu1 Cu 0.000 0.375 0.646
Cu2 Cu 0.500 0.128 0.714
```

=====

## Al7Ni5 (PBE)

Data for Al7Ni5 after structural relaxation.

- ΔE to the lowest computed polymorph: 0.000 eV/f.u.
- Magnetic moment: 0.02 Bohr magnetons per cell

Cell and atoms, written as CIF:
```
data_Al7Ni5
_chemical_formula_sum 'Al14 Ni10'
_cell_length_a 4.9054
_cell_length_b 4.9054
_cell_length_c 15.5585
_cell_angle_alpha 90.00
_cell_angle_beta 90.00
_cell_angle_gamma 120.00
_symmetry_space_group_name_H-M 'P 63/m m c'
_symmetry_Int_Tables_number 194
_symmetry_space_group_name_Hall '-P 6c 2c'
loop_
_atom_site_label
_atom_site_type_symbol
_atom_site_fract_x
_atom_site_fract_y
_atom_site_fract_z
Al1 Al 0.0000 0.0000 0.1171
Al2 Al 0.0000 0.5000 0.0000
Al3 Al 0.3333 0.6667 0.1675
Ni1 Ni 0.1666 0.3332 0.7500
Ni2 Ni 0.3333 0.6667 0.6195
```

=====

## La5FePb3 (PBE)

Data for La5FePb3 after structural relaxation.

- Magnetic moment: 0.98 Bohr magnetons per cell
- Raw total energy: -95.58 eV/cell

Cell and atoms, written as CIF:
```
data_La5FePb3
_chemical_formula_sum 'La10 Fe2 Pb6'
_cell_length_a 9.7642
_cell_length_b 9.7642
_cell_length_c 6.8964
_cell_angle_alpha 90.00
_cell_angle_beta 90.00
_cell_angle_gamma 120.00
_symmetry_space_group_name_H-M 'P 63/m c m'
_symmetry_Int_Tables_number 193
_symmetry_space_group_name_Hall '-P 6c 2'
loop_
_atom_site_label
_atom_site_type_symbol
_atom_site_fract_x
_atom_site_fract_y
_atom_site_fract_z
La1 La 0.0000 0.2286 0.2500
La2 La 0.3333 0.6667 0.0000
Fe1 Fe 0.0000 0.0000 0.0000
Pb1 Pb 0.0000 0.4057 0.7500
```

=====

## Na2CdO2 (PBE)

Data for Na2CdO2 after structural relaxation.

- Raw total energy: -76.79 eV/cell

Cell and atoms, written as CIF:
```
data_Na2CdO2
_chemical_formula_sum 'Na8 Cd4 O8'
_cell_length_a 5.982
_cell_length_b 8.646
_cell_length_c 5.931
_cell_angle_alpha 90.00
_cell_angle_beta 90.00
_cell_angle_gamma 90.00
_symmetry_space_group_name_H-M 'I b a m'
_symmetry_Int_Tables_number 72
_symmetry_space_group_name_Hall '-I 2 2c'
loop_
_atom_site_label
_atom_site_type_symbol
_atom_site_fract_x
_atom_site_fract_y
_atom_site_fract_z
Na1 Na 0.108 0.150 0.000
Cd1 Cd 0.000 0.500 0.250
O1 O 0.236 0.396 0.000
```

=====

## ScNbCoAu (PBE)

Data for ScNbCoAu after structural relaxation.

- ΔE to the lowest computed polymorph: 0.010 eV/f.u.
- Magnetic moment: 0.00 Bohr magnetons per cell

Cell and atoms, written as CIF:
```
data_ScNbCoAu
_chemical_formula_sum 'Sc4 Nb4 Co4 Au4'
_cell_length_a 6.343
_cell_length_b 6.343
_cell_length_c 6.343
_cell_angle_alpha 90.00
_cell_angle_beta 90.00
_cell_angle_gamma 90.00
_symmetry_space_group_name_H-M 'F -4 3 m'
_symmetry_Int_Tables_number 216
_symmetry_space_group_name_Hall 'F -4 2 3'
loop_
_atom_site_label
_atom_site_type_symbol
_atom_site_fract_x
_atom_site_fract_y
_atom_site_fract_z
Sc1 Sc 0.000 0.000 0.000
Nb1 Nb 0.250 0.250 0.750
Co1 Co 0.000 0.000 0.500
Au1 Au 0.250 0.250 0.250
```

=====

## TcB4Pt (PBE)

Data for TcB4Pt after structural relaxation.

- ΔE to the lowest computed polymorph: 0.000 eV/f.u.
- Magnetic moment: 0.02 Bohr magnetons per cell

Cell and atoms, written as CIF:
```
data_TcB4Pt
_chemical_formula_sum 'Tc1 B4 Pt1'
_cell_length_a 3.0111
_cell_length_b 3.0111
_cell_length_c 7.0409
_cell_angle_alpha 90.00
_cell_angle_beta 90.00
_cell_angle_gamma 120.00
_symmetry_space_group_name_H-M 'P 6/m m m'
_symmetry_Int_Tables_number 191
_symmetry_space_group_name_Hall '-P 6 2'
loop_
_atom_site_label
_atom_site_type_symbol
_atom_site_fract_x
_atom_site_fract_y
_atom_site_fract_z
Tc1 Tc 0.0000 0.0000 0.0000
B1 B 0.3333 0.6667 0.2354
Pt1 Pt 0.0000 0.0000 0.5000
```

=====

## SmDyZn2Si2 (PBE)

Data for SmDyZn2Si2 after structural relaxation.

- ΔE to the lowest computed polymorph: 0.000 eV/f.u.
- Magnetic moment: 0.01 Bohr magnetons per cell

Cell and atoms, written as CIF:
```
data_SmDyZn2Si2
_chemical_formula_sum 'Sm2 Dy2 Zn4 Si4'
_cell_length_a 4.1507
_cell_length_b 4.1507
_cell_length_c 16.1388
_cell_angle_alpha 90.00
_cell_angle_beta 90.00
_cell_angle_gamma 120.00
_symmetry_space_group_name_H-M 'P 63/m m c'
_symmetry_Int_Tables_number 194
_symmetry_space_group_name_Hall '-P 6c 2c'
loop_
_atom_site_label
_atom_site_type_symbol
_atom_site_fract_x
_atom_site_fract_y
_atom_site_fract_z
Sm1 Sm 0.0000 0.0000 0.0000
Dy1 Dy 0.0000 0.0000 0.2500
Zn1 Zn 0.3333 0.6667 0.1360
Si1 Si 0.3333 0.6667 0.6229
```

=====

## Dy3Mg2ZnIr2Pd (PBE)

Data for Dy3Mg2ZnIr2Pd after structural relaxation.

- Magnetic moment: 0.01 Bohr magnetons per cell
- Raw total energy: -95.02 eV/cell

Cell and atoms, written as CIF:
```
data_Dy3Mg2ZnIr2Pd
_chemical_formula_sum 'Dy6 Mg4 Zn2 Ir4 Pd2'
_cell_length_a 3.949
_cell_length_b 12.670
_cell_length_c 7.322
_cell_angle_alpha 90.00
_cell_angle_beta 90.00
_cell_angle_gamma 90.00
_symmetry_space_group_name_H-M 'A m m 2'
_symmetry_Int_Tables_number 38
loop_
_symmetry_equiv_pos_as_xyz
'x,y,z'
'-x,-y,z'
'-x,y,z'
'x,-y,z'
'x,y+1/2,z+1/2'
'-x,-y+1/2,z+1/2'
'-x,y+1/2,z+1/2'
'x,-y+1/2,z+1/2'
loop_
_atom_site_label
_atom_site_type_symbol
_atom_site_fract_x
_atom_site_fract_y
_atom_site_fract_z
Dy1 Dy 0.000 0.000 0.000
Dy2 Dy 0.000 0.202 0.362
Mg1 Mg 0.500 0.123 0.698
Zn1 Zn 0.500 0.000 0.318
Ir1 Ir 0.500 0.167 0.072
Pd1 Pd 0.000 0.000 0.566
```

=====

> What is the formula in the fourth record?

Na2CdO2

=====

Please write out number 3 again, unchanged.
## La5FePb3 (PBE)

Data for La5FePb3 after structural relaxation.

- Magnetic moment: 0.98 Bohr magnetons per cell
- Raw total energy: -95.58 eV/cell

Cell and atoms, written as CIF:
```
data_La5FePb3
_chemical_formula_sum 'La10 Fe2 Pb6'
_cell_length_a 9.7642
_cell_length_b 9.7642
_cell_length_c 6.8964
_cell_angle_alpha 90.00
_cell_angle_beta 90.00
_cell_angle_gamma 120.00
_symmetry_space_group_name_H-M 'P 63/m c m'
_symmetry_Int_Tables_number 193
_symmetry_space_group_name_Hall '-P 6c 2'
loop_
_atom_site_label
_atom_site_type_symbol
_atom_site_fract_x
_atom_site_fract_y
_atom_site_fract_z
La1 La 0.0000 0.2286 0.2500
La2 La 0.3333 0.6667 0.0000
Fe1 Fe 0.0000 0.0000 0.0000
Pb1 Pb 0.0000 0.4057 0.7500
```